The following is a DFT calculation (PBE with a Hubbard U) of K3ScMo2O8 after structural relaxation.

The structure in extended XYZ format:
```
14
Lattice="-0.016 2.695 5.321 -3.118 -5.020 -0.810 6.095 -4.126 2.108" Properties=species:S:1:pos:R:3 pbc="T T T"
K 1.968 -5.191 2.635
K 0.993 -1.259 3.984
K 0.000 0.000 0.000
Sc 3.047 -2.063 1.054
Mo -0.655 -3.416 1.728
Mo 3.616 -3.035 4.891
O 4.008 -6.572 3.340
O -1.047 0.121 3.279
O -0.563 -5.117 0.915
O 3.524 -1.334 5.704
O 0.999 -2.602 1.321
O 1.961 -3.849 5.298
O -0.571 -3.767 3.581
O 3.532 -2.684 3.038
```

## Properties
Total moment in μB/f.u.: 2.00
Space group: P-3m1
Total DFT energy (no corrections) in eV per atom: -6.521